Material: LaPrNdSe3
Method: DFT, PBE-GGA
State: optimized geometry

The magnetic moment is 0.00 μB per atom. The total energy comes out at -5.985 eV/atom. Its crystal system is monoclinic. For the formation energy from raw total energies, the calculation gives -1.831 eV per atom.

It has space group P2_1/m (No. 11), with a = 7.417 Å, b = 4.145 Å, c = 11.109 Å, α = 90.00°, β = 102.67° and γ = 90.00°. The asymmetric unit holds La at (0.156, 0.250, 0.196), Pr at (0.267, 0.750, 0.557), Nd at (0.379, 0.250, 0.872), Se at (0.046, 0.250, 0.667), Se at (0.214, 0.750, 0.004) and Se at (0.442, 0.750, 0.339).

Material: BeIrPt
Method: DFT, PBE-GGA
State: optimized geometry

The magnetic moment is 0.00 μB per atom. The total energy comes out at -6.577 eV/atom. Its energy above the most stable polymorph in this dataset is 0.000 eV per atom. Its crystal system is tetragonal. As for the energy of formation from the pure elements: -0.367 eV per atom.

It has space group I4mm (No. 107), with a = 2.776 Å, b = 2.776 Å, c = 9.823 Å, α = 90.00°, β = 90.00° and γ = 90.00°. The asymmetric unit holds Be at (0.000, 0.000, 0.000), Ir at (0.000, 0.000, 0.361) and Pt at (0.000, 0.000, 0.650).

Material: CePr12Y7
Method: DFT, PBE-GGA
State: optimized geometry

The magnetic moment is 0.07 μB per atom. The total energy comes out at -5.137 eV/atom. Its crystal system is trigonal. As for the energy of formation from the pure elements: 0.290 eV per atom.

It has space group R-3 (No. 148, hexagonal axes), with a = 18.9918 Å, b = 18.9918 Å, c = 6.8940 Å, α = 90.00°, β = 90.00° and γ = 120.00°. The asymmetric unit holds Ce at (0.0000, 0.0000, 0.0000), Pr at (0.0007, 0.7890, 0.2933), Pr at (0.0073, 0.4702, 0.7422), Y at (0.0000, 0.0000, 0.5000) and Y at (0.0086, 0.8555, 0.7839).

Material: CaTiAg3
Method: DFT, PBE-GGA
State: optimized geometry

The magnetic moment is 0.27 μB per atom. The total energy comes out at -3.219 eV/atom. Its energy above the most stable polymorph in this dataset is 0.000 eV per atom. Its crystal system is cubic. As for the energy of formation from the pure elements: 0.471 eV per atom.

It has space group Pm-3m (No. 221), with a = 5.074 Å, b = 5.074 Å, c = 5.074 Å, α = 90.00°, β = 90.00° and γ = 90.00°. The asymmetric unit holds Ca at (0.000, 0.000, 0.000), Ti at (0.500, 0.500, 0.500) and Ag at (0.000, 0.500, 0.500).

Material: NaYZn2Co
Method: DFT, PBE-GGA
State: optimized geometry

The magnetic moment is 0.36 μB per atom. The total energy comes out at -2.019 eV/atom. Its crystal system is tetragonal. As for the energy of formation from the pure elements: 1.468 eV per atom.

It has space group P4/mmm (No. 123), with a = 5.494 Å, b = 5.494 Å, c = 6.085 Å, α = 90.00°, β = 90.00° and γ = 90.00°. The asymmetric unit holds Na at (0.000, 0.000, 0.000), Y at (0.000, 0.000, 0.500), Zn at (0.000, 0.500, 0.500) and Co at (0.500, 0.500, 0.000).

Material: ScPRu2
Method: DFT, PBE-GGA
State: optimized geometry

The magnetic moment is 0.00 μB per atom. The total energy comes out at -7.655 eV/atom. Its crystal system is cubic. As for the energy of formation from the pure elements: -0.082 eV per atom.

It has space group F-43m (No. 216), with a = 6.220 Å, b = 6.220 Å, c = 6.220 Å, α = 90.00°, β = 90.00° and γ = 90.00°. The asymmetric unit holds Sc at (0.000, 0.000, 0.000), P at (0.250, 0.250, 0.250), Ru at (0.000, 0.000, 0.500) and Ru at (0.250, 0.250, 0.750).

> Which formula does entry 3 have?

CePr12Y7

> Which value of magnetic moment does entry 3 give?

0.07 μB per atom

Copy entry 5 word for word.
Material: NaYZn2Co
Method: DFT, PBE-GGA
State: optimized geometry

The magnetic moment is 0.36 μB per atom. The total energy comes out at -2.019 eV/atom. Its crystal system is tetragonal. As for the energy of formation from the pure elements: 1.468 eV per atom.

It has space group P4/mmm (No. 123), with a = 5.494 Å, b = 5.494 Å, c = 6.085 Å, α = 90.00°, β = 90.00° and γ = 90.00°. The asymmetric unit holds Na at (0.000, 0.000, 0.000), Y at (0.000, 0.000, 0.500), Zn at (0.000, 0.500, 0.500) and Co at (0.500, 0.500, 0.000).

> What is the magnetic moment in the third record?

0.07 μB per atom